## a
A relaxed La5Zn2 crystal, computed with PBE.

```
La5Zn2
1.0
6.399 0.000 0.000
0.000 8.897 0.131
-3.199 -1.161 7.681
La Zn
10 4
Cartesian
-2.184 -0.255 6.292
3.645 2.334 3.685
1.015 3.542 1.455
2.165 6.673 0.098
0.446 0.953 4.062
2.754 6.783 3.750
2.184 4.193 6.357
5.384 7.991 1.521
-0.446 5.401 4.128
4.234 2.224 0.033
-1.016 2.872 6.187
2.183 0.415 1.559
1.016 7.321 6.253
4.216 4.864 1.625
```

Calculated values
* crystal system: monoclinic
* DOS(E_F): 9.76 states/eV/f.u.
* magnetization: 0.000 μB/atom

***

## b
A relaxed La5Zn2 crystal, computed with PBE.

```
La5Zn2
1.0
6.351 0.000 -2.696
-1.458 7.214 -3.435
0.190 -0.117 9.276
La Zn
10 4
Cartesian
0.859 3.607 -2.391
2.366 6.577 -3.256
4.034 3.607 -3.739
0.171 1.722 0.403
4.912 5.375 2.742
-0.204 1.832 3.934
2.111 5.265 0.559
2.718 0.520 6.401
5.287 5.265 -0.789
2.972 1.832 2.586
-0.455 6.439 -1.072
5.538 0.658 4.217
3.508 2.543 -0.565
1.575 4.554 3.710
```

Calculated values
* crystal system: orthorhombic
* DOS(E_F): 8.90 states/eV/f.u.
* magnetization: 0.000 μB/atom

***

Q: What are the energies relative to the best structure? A: a 1.1; b 0.0, in kJ/mol of atoms.

***

## a
A relaxed LaZn6 crystal, computed with PBE.

```
LaZn6
1.0
-5.719 1.148 0.641
0.873 -5.797 0.263
3.017 2.629 4.293
Zn La
6 1
Cartesian
-1.451 -3.117 1.591
1.269 -0.640 3.512
-3.099 -1.380 1.686
-2.563 0.726 2.693
-0.379 1.097 3.606
0.733 -2.746 2.504
0.000 0.000 0.000
```

Calculated values
* crystal system: cubic
* DOS(E_F): 2.57 states/eV/f.u.
* magnetization: 0.000 μB/atom

***

## b
A relaxed LaZn6 crystal, computed with PBE.

```
LaZn6
1.0
-0.893 1.366 4.910
1.758 -8.364 2.647
10.438 2.569 1.185
Zn La
24 4
Cartesian
4.855 -6.971 2.880
0.576 -3.739 5.234
9.781 -4.022 6.988
4.451 1.613 4.450
6.703 -0.381 5.415
1.983 -6.683 6.309
3.145 -4.135 5.812
6.852 -6.042 4.291
2.738 -3.094 1.416
4.427 -6.317 5.232
8.994 -1.990 4.973
8.158 -0.294 2.930
10.728 -0.690 3.507
9.011 -4.483 4.250
1.522 -0.407 1.753
6.944 -2.730 3.386
4.601 -4.047 3.326
6.877 1.888 3.509
9.320 2.254 2.432
8.565 -1.335 7.326
4.359 -1.699 5.355
6.449 2.542 5.862
2.310 -2.439 3.768
2.292 0.054 4.491
6.463 -3.718 6.300
4.840 -0.711 2.442
1.731 -5.875 3.313
9.573 1.446 5.429
```

Calculated values
* crystal system: orthorhombic
* DOS(E_F): 3.72 states/eV/f.u.
* magnetization: 0.000 μB/atom

***

Q: What are the energies relative to the best structure? A: a 32.1; b 0.0, in kJ/mol of atoms.

***

## a
A relaxed LaZrZn3 crystal, computed with PBE.

```
LaZrZn3
1.0
-0.458 -2.112 -4.759
0.920 -4.735 2.013
-5.125 -0.661 0.787
Zn La Zr
3 1 1
Cartesian
-0.229 -1.056 -2.380
0.460 -2.368 1.007
-2.563 -0.330 0.393
0.000 0.000 0.000
-2.332 -3.754 -0.980
```

Calculated values
* crystal system: cubic
* DOS(E_F): 6.79 states/eV/f.u.
* magnetization: 0.025 μB/atom

***

## b
A relaxed LaZrZn3 crystal, computed with PBE.

```
LaZrZn3
1.0
-4.970 -1.156 -0.060
1.155 -4.970 0.076
-0.076 0.060 5.102
Zn La Zr
3 1 1
Cartesian
-2.485 -0.578 -0.030
0.577 -2.485 0.038
-0.038 0.030 2.551
-1.945 -3.033 2.559
0.000 0.000 0.000
```

Calculated values
* crystal system: cubic
* DOS(E_F): 6.47 states/eV/f.u.
* magnetization: 0.089 μB/atom

***

Q: What are the energies relative to the best structure? A: a 81.1; b 0.0, in kJ/mol of atoms.

***

## a
A relaxed LaZrZn4 crystal, computed with PBE.

```
LaZrZn4
1.0
-2.073 3.662 -1.288
-0.807 -1.703 3.976
5.413 4.061 2.837
Zn La Zr
4 1 1
Cartesian
-0.996 1.838 3.007
2.265 4.284 4.714
0.233 1.753 0.786
3.494 4.199 2.493
2.285 1.187 3.394
4.992 3.218 4.812
```

Calculated values
* crystal system: hexagonal
* DOS(E_F): 7.18 states/eV/f.u.
* magnetization: 0.000 μB/atom

***

## b
A relaxed LaZrZn4 crystal, computed with PBE.

```
LaZrZn4
1.0
3.161 -2.991 -3.276
3.372 -3.716 2.119
-1.026 -5.307 -0.673
Zn Zr La
4 1 1
Cartesian
3.737 -6.358 0.355
1.569 -7.143 -1.021
3.633 -6.001 -2.305
2.075 -4.526 -0.690
4.130 -9.011 -1.373
0.000 0.000 0.000
```

Calculated values
* crystal system: cubic
* DOS(E_F): 4.68 states/eV/f.u.
* magnetization: 0.159 μB/atom

***

Q: What are the energies relative to the best structure? A: a 0.0; b 8.6, in kJ/mol of atoms.

***

## a
A relaxed La3ZrZn crystal, computed with PBE.

```
La3ZrZn
1.0
-1.052 5.567 0.721
-3.242 -1.201 4.546
4.583 0.429 3.382
La Zr Zn
3 1 1
Cartesian
2.291 0.214 1.691
-1.621 -0.601 2.273
-0.526 2.784 0.360
0.000 0.000 0.000
0.144 2.397 4.324
```

Calculated values
* crystal system: cubic
* DOS(E_F): 5.03 states/eV/f.u.
* magnetization: 0.000 μB/atom

***

## b
A relaxed La3ZrZn crystal, computed with PBE.

```
La3ZrZn
1.0
5.645 0.000 0.000
0.000 5.645 0.000
0.000 0.000 5.645
La Zn Zr
3 1 1
Cartesian
0.000 0.000 2.823
0.000 2.823 0.000
2.823 0.000 0.000
0.000 0.000 0.000
2.823 2.823 2.823
```

Calculated values
* crystal system: cubic
* DOS(E_F): 13.09 states/eV/f.u.
* magnetization: 0.000 μB/atom

***

Q: What are the energies relative to the best structure? A: a 0.0; b 2.3, in kJ/mol of atoms.

***

## a
A relaxed LaZr crystal, computed with PBE.

```
LaZr
1.0
-2.628 0.769 -1.968
0.758 -2.589 -2.023
-5.922 -6.061 5.540
La Zr
2 2
Cartesian
-1.707 -3.430 0.940
-5.150 -3.542 2.605
-1.923 -0.239 -0.415
-4.935 -6.733 3.960
```

Calculated values
* crystal system: tetragonal
* DOS(E_F): 2.97 states/eV/f.u.
* magnetization: 0.000 μB/atom

***

## b
A relaxed LaZr crystal, computed with PBE.

```
LaZr
1.0
11.377 0.000 0.004
0.000 3.426 0.000
-1.025 0.000 5.851
La Zr
4 4
Cartesian
7.551 1.713 4.201
8.063 0.000 1.276
4.735 1.713 1.675
4.222 0.000 4.600
2.155 0.000 0.198
10.951 1.713 0.770
1.642 1.713 3.124
10.439 0.000 3.696
```

Calculated values
* crystal system: monoclinic
* DOS(E_F): 2.67 states/eV/f.u.
* magnetization: 0.000 μB/atom

***

Q: What are the energies relative to the best structure? A: a 0.0; b 2.9, in kJ/mol of atoms.